[1]
The following is a PBE-GGA calculation of an optimized crystal structure of Mg2CuPb, from the Alexandria database.

a = 3.378 Å, b = 3.378 Å, c = 7.299 Å
α = 90.00°, β = 90.00°, γ = 90.00°
Fractional coordinates of all 4 atoms:
Mg: 0.000 0.000 0.198
Mg: 0.000 0.000 0.802
Cu: 0.500 0.500 0.000
Pb: 0.500 0.500 0.500

Calculated values
The crystal system is tetragonal. Its symmetry is P4/mmm, No. 123.

***

[2]
The following is a PBE-GGA calculation of an optimized crystal structure of Mg2CuPb, from the Alexandria database.

a = 3.332 Å, b = 3.332 Å, c = 27.393 Å
α = 90.00°, β = 90.00°, γ = 120.00°
Fractional coordinates of all 12 atoms:
Mg: 0.000 0.000 0.000
Mg: 0.000 0.000 0.195
Mg: 0.333 0.667 0.667
Mg: 0.333 0.667 0.862
Mg: 0.667 0.333 0.333
Mg: 0.667 0.333 0.529
Cu: 0.000 0.000 0.598
Cu: 0.333 0.667 0.265
Cu: 0.667 0.333 0.931
Pb: 0.000 0.000 0.432
Pb: 0.333 0.667 0.099
Pb: 0.667 0.333 0.765

Calculated values
The crystal system is trigonal. Its symmetry is R3m, No. 160.

***

[3]
The following is a PBE-GGA calculation of an optimized crystal structure of Mg2CuPb, from the Alexandria database.

a = 3.531 Å, b = 3.531 Å, c = 6.888 Å
α = 90.00°, β = 90.00°, γ = 90.00°
Fractional coordinates of all 4 atoms:
Mg: 0.000 0.000 0.000
Mg: 0.500 0.500 0.262
Cu: 0.500 0.500 0.844
Pb: 0.000 0.000 0.560

Calculated values
The crystal system is tetragonal. Its symmetry is P4mm, No. 99.

***

[4]
The following is a PBE-GGA calculation of an optimized crystal structure of MgCu2Pb, from the Alexandria database.

a = 9.755 Å, b = 3.405 Å, c = 4.718 Å
α = 90.00°, β = 110.14°, γ = 90.00°
Fractional coordinates of all 8 atoms:
Mg: 0.000 0.000 0.000
Mg: 0.500 0.500 0.000
Cu: 0.259 0.500 0.208
Cu: 0.462 0.000 0.440
Cu: 0.759 0.000 0.208
Cu: 0.962 0.500 0.440
Pb: 0.217 0.000 0.673
Pb: 0.717 0.500 0.673

Calculated values
The crystal system is monoclinic. Its symmetry is Cm, No. 8.

***

[5]
The following is a PBE-GGA calculation of an optimized crystal structure of Mg2CuPb, from the Alexandria database.

a = 3.229 Å, b = 3.229 Å, c = 29.106 Å
α = 90.00°, β = 90.00°, γ = 120.00°
Fractional coordinates of all 12 atoms:
Mg: 0.000 0.000 0.236
Mg: 0.000 0.000 0.764
Mg: 0.333 0.667 0.430
Mg: 0.333 0.667 0.903
Mg: 0.667 0.333 0.097
Mg: 0.667 0.333 0.570
Cu: 0.000 0.000 0.500
Cu: 0.333 0.667 0.167
Cu: 0.667 0.333 0.833
Pb: 0.000 0.000 0.000
Pb: 0.333 0.667 0.667
Pb: 0.667 0.333 0.333

Calculated values
The crystal system is trigonal. Its symmetry is R-3m, No. 166.

***

[6]
The following is a PBE-GGA calculation of an optimized crystal structure of MgCuPdPb, from the Alexandria database.

a = 6.624 Å, b = 6.624 Å, c = 6.624 Å
α = 90.00°, β = 90.00°, γ = 90.00°
Fractional coordinates of all 16 atoms:
Mg: 0.000 0.000 0.000
Mg: 0.000 0.500 0.500
Mg: 0.500 0.000 0.500
Mg: 0.500 0.500 0.000
Cu: 0.250 0.250 0.250
Cu: 0.250 0.750 0.750
Cu: 0.750 0.250 0.750
Cu: 0.750 0.750 0.250
Pd: 0.250 0.250 0.750
Pd: 0.250 0.750 0.250
Pd: 0.750 0.250 0.250
Pd: 0.750 0.750 0.750
Pb: 0.000 0.000 0.500
Pb: 0.000 0.500 0.000
Pb: 0.500 0.000 0.000
Pb: 0.500 0.500 0.500

Calculated values
The crystal system is cubic. Its symmetry is F-43m, No. 216.

***

[7]
The following is a PBE-GGA calculation of an optimized crystal structure of PmMgCuPb, from the Alexandria database.

a = 7.245 Å, b = 7.245 Å, c = 7.245 Å
α = 90.00°, β = 90.00°, γ = 90.00°
Fractional coordinates of all 16 atoms:
Pm: 0.000 0.000 0.000
Pm: 0.000 0.500 0.500
Pm: 0.500 0.000 0.500
Pm: 0.500 0.500 0.000
Mg: 0.000 0.000 0.500
Mg: 0.000 0.500 0.000
Mg: 0.500 0.000 0.000
Mg: 0.500 0.500 0.500
Cu: 0.250 0.250 0.250
Cu: 0.250 0.750 0.750
Cu: 0.750 0.250 0.750
Cu: 0.750 0.750 0.250
Pb: 0.250 0.250 0.750
Pb: 0.250 0.750 0.250
Pb: 0.750 0.250 0.250
Pb: 0.750 0.750 0.750

Calculated values
The crystal system is cubic. Its symmetry is F-43m, No. 216.

***

[8]
The following is a PBE-GGA calculation of an optimized crystal structure of PuMgCuPb, from the Alexandria database.

a = 7.170 Å, b = 7.170 Å, c = 7.170 Å
α = 90.00°, β = 90.00°, γ = 90.00°
Fractional coordinates of all 16 atoms:
Pu: 0.000 0.000 0.000
Pu: 0.000 0.500 0.500
Pu: 0.500 0.000 0.500
Pu: 0.500 0.500 0.000
Mg: 0.000 0.000 0.500
Mg: 0.000 0.500 0.000
Mg: 0.500 0.000 0.000
Mg: 0.500 0.500 0.500
Cu: 0.250 0.250 0.750
Cu: 0.250 0.750 0.250
Cu: 0.750 0.250 0.250
Cu: 0.750 0.750 0.750
Pb: 0.250 0.250 0.250
Pb: 0.250 0.750 0.750
Pb: 0.750 0.250 0.750
Pb: 0.750 0.750 0.250

Calculated values
The crystal system is cubic. Its symmetry is F-43m, No. 216.

***

[9]
The following is a PBE-GGA calculation of an optimized crystal structure of Mg2CuRhPb, from the Alexandria database.

a = 4.729 Å, b = 4.729 Å, c = 4.934 Å
α = 90.00°, β = 90.00°, γ = 90.00°
Fractional coordinates of all 5 atoms:
Mg: 0.000 0.500 0.000
Mg: 0.500 0.000 0.000
Cu: 0.000 0.000 0.000
Rh: 0.500 0.500 0.500
Pb: 0.000 0.000 0.500

Calculated values
The crystal system is tetragonal. Its symmetry is P4/mmm, No. 123.

***

[10]
The following is a PBE-GGA calculation of an optimized crystal structure of SmMgCuPb, from the Alexandria database.

a = 7.223 Å, b = 7.223 Å, c = 7.223 Å
α = 90.00°, β = 90.00°, γ = 90.00°
Fractional coordinates of all 16 atoms:
Sm: 0.000 0.000 0.000
Sm: 0.000 0.500 0.500
Sm: 0.500 0.000 0.500
Sm: 0.500 0.500 0.000
Mg: 0.000 0.000 0.500
Mg: 0.000 0.500 0.000
Mg: 0.500 0.000 0.000
Mg: 0.500 0.500 0.500
Cu: 0.250 0.250 0.750
Cu: 0.250 0.750 0.250
Cu: 0.750 0.250 0.250
Cu: 0.750 0.750 0.750
Pb: 0.250 0.250 0.250
Pb: 0.250 0.750 0.750
Pb: 0.750 0.250 0.750
Pb: 0.750 0.750 0.250

Calculated values
The crystal system is cubic. Its symmetry is F-43m, No. 216.

***

[11]
The following is a PBE-GGA calculation of an optimized crystal structure of TbMgCuPb, from the Alexandria database.

a = 7.153 Å, b = 7.153 Å, c = 7.153 Å
α = 90.00°, β = 90.00°, γ = 90.00°
Fractional coordinates of all 16 atoms:
Tb: 0.000 0.000 0.000
Tb: 0.000 0.500 0.500
Tb: 0.500 0.000 0.500
Tb: 0.500 0.500 0.000
Mg: 0.000 0.000 0.500
Mg: 0.000 0.500 0.000
Mg: 0.500 0.000 0.000
Mg: 0.500 0.500 0.500
Cu: 0.250 0.250 0.750
Cu: 0.250 0.750 0.250
Cu: 0.750 0.250 0.250
Cu: 0.750 0.750 0.750
Pb: 0.250 0.250 0.250
Pb: 0.250 0.750 0.750
Pb: 0.750 0.250 0.750
Pb: 0.750 0.750 0.250

Calculated values
The crystal system is cubic. Its symmetry is F-43m, No. 216.

***

[12]
The following is a PBE-GGA calculation of an optimized crystal structure of ThMgCuPb, from the Alexandria database.

a = 7.306 Å, b = 7.306 Å, c = 7.306 Å
α = 90.00°, β = 90.00°, γ = 90.00°
Fractional coordinates of all 16 atoms:
Th: 0.000 0.000 0.000
Th: 0.000 0.500 0.500
Th: 0.500 0.000 0.500
Th: 0.500 0.500 0.000
Mg: 0.000 0.000 0.500
Mg: 0.000 0.500 0.000
Mg: 0.500 0.000 0.000
Mg: 0.500 0.500 0.500
Cu: 0.250 0.250 0.250
Cu: 0.250 0.750 0.750
Cu: 0.750 0.250 0.750
Cu: 0.750 0.750 0.250
Pb: 0.250 0.250 0.750
Pb: 0.250 0.750 0.250
Pb: 0.750 0.250 0.250
Pb: 0.750 0.750 0.750

Calculated values
The crystal system is cubic. Its symmetry is F-43m, No. 216.

***

Number 1: E -11.20 eV for the cell shown, energy of formation from the pure elements -0.20 eV per formula unit. Number 2: E -32.18 eV for the cell shown, energy of formation from the pure elements 0.27 eV per formula unit. Number 3: E -10.85 eV for the cell shown, energy of formation from the pure elements 0.14 eV per formula unit. Number 4: E -26.12 eV for the cell shown, energy of formation from the pure elements 0.44 eV per formula unit. Number 5: E -32.21 eV for the cell shown, energy of formation from the pure elements 0.26 eV per formula unit. Number 6: E -61.51 eV for the cell shown, energy of formation from the pure elements -0.79 eV per formula unit. Number 7: E -59.84 eV for the cell shown, energy of formation from the pure elements -0.81 eV per formula unit. Number 8: E -94.80 eV for the cell shown, energy of formation from the pure elements 0.03 eV per formula unit. Number 9: E -16.00 eV for the cell shown, energy of formation from the pure elements 2.34 eV per formula unit. Number 10: E -59.70 eV for the cell shown, energy of formation from the pure elements -0.81 eV per formula unit. Number 11: E -59.33 eV for the cell shown, energy of formation from the pure elements -0.80 eV per formula unit. Number 12: E -67.64 eV for the cell shown, energy of formation from the pure elements -0.09 eV per formula unit.